Computed, not measured: a relaxed structure of La4NiHgI2 at the GGA-PBE level of DFT.

```
La4NiHgI2
1.0
4.310 0.000 0.000
0.000 8.364 -0.483
0.000 2.637 7.310
Ni La I Hg
1 4 2 1
direct
0.000 0.500 0.500
0.500 0.302 0.717
0.000 0.710 0.726
0.000 0.290 0.274
0.500 0.698 0.283
0.000 0.000 0.000
0.500 0.000 0.500
0.500 0.500 0.000
```

Output
**Formation energy without anion corrections**: -0.69 eV per atom
**Crystal system**: monoclinic

***

Computed, not measured: a relaxed structure of Rb2SrCaCl6 at the GGA-PBE level of DFT.

```
Rb2SrCaCl6
1.0
-5.116 -5.455 -2.428
5.943 -4.342 -2.767
0.823 -7.469 2.315
Rb Cl Sr Ca
2 6 1 1
direct
0.750 0.250 0.500
0.250 0.750 0.500
0.744 0.744 0.000
0.744 0.744 0.512
0.256 0.256 0.488
0.256 0.744 0.000
0.256 0.256 0.000
0.744 0.256 0.000
0.000 0.000 0.000
0.500 0.500 0.000
```

Output
**Formation energy without anion corrections**: -2.24 eV per atom
**Crystal system**: cubic
**Energy above the most stable polymorph in this dataset**: 0.66 kcal/mol of atoms

***

Computed, not measured: a relaxed structure of Na5B7C3 at the GGA-PBE level of DFT.

```
Na5B7C3
1.0
6.251 0.010 -4.477
4.231 4.605 -4.476
0.647 0.287 10.327
B C Na
14 6 10
direct
0.253 0.548 0.250
0.359 0.030 0.750
0.448 0.761 0.250
0.988 0.597 0.750
0.763 0.437 0.750
0.823 0.180 0.251
0.165 0.838 0.251
0.602 0.212 0.750
0.620 0.983 0.750
0.217 0.580 0.750
0.038 0.351 0.249
0.962 0.635 0.249
0.621 0.978 0.250
0.169 0.842 0.750
0.564 0.237 0.251
0.365 0.034 0.249
0.832 0.178 0.750
0.766 0.434 0.250
0.022 0.367 0.750
0.427 0.773 0.751
0.000 0.002 0.001
0.601 0.600 0.500
0.599 0.600 0.000
0.801 0.802 0.002
0.401 0.400 0.001
0.798 0.800 0.499
0.199 0.201 0.499
0.201 0.200 0.001
0.998 0.999 0.497
0.400 0.399 0.500
```

Output
**Crystal system**: triclinic
**Energy above the most stable polymorph in this dataset**: 0.83 kcal/mol of atoms

***

Repeat the second record exactly.
Computed, not measured: a relaxed structure of Rb2SrCaCl6 at the GGA-PBE level of DFT.

```
Rb2SrCaCl6
1.0
-5.116 -5.455 -2.428
5.943 -4.342 -2.767
0.823 -7.469 2.315
Rb Cl Sr Ca
2 6 1 1
direct
0.750 0.250 0.500
0.250 0.750 0.500
0.744 0.744 0.000
0.744 0.744 0.512
0.256 0.256 0.488
0.256 0.744 0.000
0.256 0.256 0.000
0.744 0.256 0.000
0.000 0.000 0.000
0.500 0.500 0.000
```

Output
**Formation energy without anion corrections**: -2.24 eV per atom
**Crystal system**: cubic
**Energy above the most stable polymorph in this dataset**: 0.66 kcal/mol of atoms

***

Please write out number 3 again, unchanged.
Computed, not measured: a relaxed structure of Na5B7C3 at the GGA-PBE level of DFT.

```
Na5B7C3
1.0
6.251 0.010 -4.477
4.231 4.605 -4.476
0.647 0.287 10.327
B C Na
14 6 10
direct
0.253 0.548 0.250
0.359 0.030 0.750
0.448 0.761 0.250
0.988 0.597 0.750
0.763 0.437 0.750
0.823 0.180 0.251
0.165 0.838 0.251
0.602 0.212 0.750
0.620 0.983 0.750
0.217 0.580 0.750
0.038 0.351 0.249
0.962 0.635 0.249
0.621 0.978 0.250
0.169 0.842 0.750
0.564 0.237 0.251
0.365 0.034 0.249
0.832 0.178 0.750
0.766 0.434 0.250
0.022 0.367 0.750
0.427 0.773 0.751
0.000 0.002 0.001
0.601 0.600 0.500
0.599 0.600 0.000
0.801 0.802 0.002
0.401 0.400 0.001
0.798 0.800 0.499
0.199 0.201 0.499
0.201 0.200 0.001
0.998 0.999 0.497
0.400 0.399 0.500
```

Output
**Crystal system**: triclinic
**Energy above the most stable polymorph in this dataset**: 0.83 kcal/mol of atoms